DFT (meta-GGA SCAN) results for a PBEsol-optimized structure of La3Ir.

Cell: 3.921 3.921 9.518 Å, 90.00 90.00 120.00°
Sites, in units of the cell vectors:
Ir1 0.000 0.000 0.000
La1 0.000 0.000 0.500
La2 0.667 0.333 0.816
La3 0.667 0.333 0.184

## Properties
* energy relative to the elements: -0.35 eV/atom
* total magnetic moment: 0.00 μB per atom
* space-group type: P-6m2

DFT (meta-GGA SCAN) results for a PBEsol-optimized structure of LiIn2ReH.

Cell: 3.461 4.655 4.655 Å, 90.00 90.00 90.00°
Sites, in units of the cell vectors:
Re1 0.500 0.000 0.000
Li1 0.500 0.500 0.500
H1 0.000 0.000 0.000
In1 0.000 0.000 0.500
In2 0.000 0.500 0.000

## Properties
* raw total energy: -28.384 eV/atom
* total magnetic moment: 0.00 μB per atom
* space-group type: P4/mmm

DFT (meta-GGA SCAN) results for a PBEsol-optimized structure of CaMnRh2N.

Cell: 4.236 4.236 5.502 Å, 90.00 90.00 90.00°
Sites, in units of the cell vectors:
Ca1 0.000 0.000 0.500
Mn1 0.000 0.000 0.000
Rh1 0.000 0.500 0.000
Rh2 0.500 0.000 0.000
N1 0.500 0.500 0.500

## Properties
* formation energy (no corrections): 672.3 kJ/mol of formula units
* total magnetic moment: 0.20 μB per atom
* space-group type: P4/mmm